The following is a DFT calculation (PBE with a Hubbard U) of CrClF3 after structural relaxation.

## Properties
- E above lowest polymorph: 1440.1 meV per atom
- Total DFT energy (no corrections): -3.39 eV per atom
- M_tot: 4.79 μB/cell

Geometry as extended XYZ:
```
5
Lattice="4.3751 0.0000 0.0000 0.0000 4.3751 0.0000 0.0000 0.0000 4.3751" Properties=species:S:1:pos:R:3 pbc="T T T"
Cr 0.0000 0.0000 0.0000
Cl 2.1876 2.1876 2.1876
F 0.0000 2.1876 2.1876
F 2.1876 0.0000 2.1876
F 2.1876 2.1876 0.0000
```